Here is an optimized crystal structure of ScNiP from Alexandria. Energies are from GGA-PBEsol.

## Properties
- ΔH_f (0 K): -1.28 eV/atom
- SG: Pnma, No. 62
- Crystal system: orthorhombic

POSCAR file:
```
ScNiP
1.0
3.700 0.000 0.000
0.000 6.263 0.000
0.000 0.000 7.003
Ni P Sc
4 4 4
Cartesian
2.775 5.386 6.580
0.925 4.009 3.079
0.925 0.877 0.422
2.775 2.255 3.924
2.775 4.588 4.333
0.925 4.807 0.832
0.925 1.675 2.669
2.775 1.457 6.171
2.775 6.137 2.211
0.925 3.258 5.712
0.925 0.126 4.792
2.775 3.006 1.291
```

=====

Here is an optimized crystal structure of Sc2Ni12P7 from Alexandria. Energies are from GGA-PBEsol.

## Properties
- ΔH_f (0 K): -0.84 eV/atom
- SG: P-6, No. 174
- Crystal system: hexagonal

POSCAR file:
```
Sc2Ni12P7
1.0
-2.066 2.156 1.925
-6.995 -2.255 -4.981
1.938 -4.664 7.302
Sc Ni P
2 12 7
Cartesian
-2.073 -2.783 4.170
-4.017 -3.058 -0.887
-5.253 -0.548 -1.744
-6.577 -3.707 0.371
-4.796 -4.760 3.461
-0.156 -3.429 6.951
-1.266 -0.159 2.098
-1.635 -1.345 -0.249
-4.739 -5.353 0.909
-5.677 -2.475 -3.320
0.414 -2.174 2.879
-0.803 -5.221 4.985
-2.731 -4.187 1.758
-3.321 -1.684 1.600
0.000 0.000 0.000
-2.410 -5.435 3.500
-3.686 -0.401 -0.228
-4.832 -3.256 1.740
-6.633 -2.282 -1.284
-1.247 -2.578 1.548
0.538 -3.569 4.574
```

=====

Here is an optimized crystal structure of Ni2PSe from Alexandria. Energies are from GGA-PBEsol.

## Properties
- SG: Pmmm, No. 47
- Crystal system: orthorhombic
- Uncorrected formation energy: -0.171 eV per atom

POSCAR file:
```
Ni2PSe
1.0
2.784 0.000 0.267
0.000 2.878 0.000
-0.634 0.000 6.552
Ni P Se
2 1 1
Cartesian
-0.198 0.000 2.047
2.348 0.000 4.771
1.075 1.439 3.409
0.000 1.439 0.000
```

=====

Here is an optimized crystal structure of Ni2PSe from Alexandria. Energies are from GGA-PBEsol.

## Properties
- SG: C2/m, No. 12
- Crystal system: monoclinic
- Uncorrected formation energy: -0.253 eV per atom

POSCAR file:
```
Ni2PSe
1.0
-0.288 -0.632 3.135
2.567 -1.753 -1.763
2.179 4.862 1.181
Ni P Se
2 1 1
Cartesian
2.523 2.055 2.291
1.935 0.421 0.262
1.089 2.431 0.590
-0.144 -0.316 1.568
```

=====

Here is an optimized crystal structure of Ni2PSe from Alexandria. Energies are from GGA-PBEsol.

## Properties
- SG: Amm2, No. 38
- Crystal system: orthorhombic
- Uncorrected formation energy: -0.264 eV per atom

POSCAR file:
```
Ni2PSe
1.0
-0.701 -0.082 3.932
4.196 -1.007 0.728
0.385 3.255 2.284
Ni P Se
2 1 1
Cartesian
-0.008 0.081 0.160
2.027 0.205 1.752
-0.109 1.098 2.150
1.814 2.346 5.946
```

=====

Here is an optimized crystal structure of NiPSe3 from Alexandria. Energies are from GGA-PBEsol.

## Properties
- SG: C2/m, No. 12
- Crystal system: monoclinic
- Uncorrected formation energy: -0.136 eV per atom

POSCAR file:
```
NiPSe3
1.0
-4.140 -3.813 2.266
1.120 -5.971 0.122
1.203 -0.658 6.438
Ni P Se
2 2 6
Cartesian
-2.010 -6.527 1.591
-1.010 -3.257 0.797
-3.680 -3.703 3.274
0.743 -0.768 5.429
-0.889 -1.243 2.193
-2.048 -3.227 6.511
-1.611 -4.452 2.837
-2.812 -7.465 3.694
-0.206 -5.990 5.988
0.995 -2.977 5.131
```

=====

Here is an optimized crystal structure of NiPSe from Alexandria. Energies are from GGA-PBEsol.

## Properties
- SG: F-43m, No. 216
- Crystal system: cubic
- Uncorrected formation energy: 0.485 eV per atom

POSCAR file:
```
NiPSe
1.0
-2.711 2.424 -1.897
-3.975 -1.010 -0.044
-2.694 2.177 2.197
Ni P Se
1 1 1
Cartesian
-4.690 1.795 0.128
-2.345 0.898 0.064
0.000 0.000 0.000
```

=====

Here is an optimized crystal structure of NiSn2PSe from Alexandria. Energies are from GGA-PBEsol.

## Properties
- SG: P4/mmm, No. 123
- Crystal system: tetragonal
- Uncorrected formation energy: 0.627 eV per atom

POSCAR file:
```
NiSn2PSe
1.0
4.163 0.000 0.000
0.000 5.471 0.000
0.000 0.000 5.471
Ni Sn Se P
1 2 1 1
Cartesian
2.081 0.000 0.000
0.000 0.000 2.736
0.000 2.736 0.000
0.000 0.000 0.000
2.081 2.736 2.736
```

=====

Here is an optimized crystal structure of Si4NiP from Alexandria. Energies are from GGA-PBEsol.

## Properties
- SG: F-43m, No. 216
- Crystal system: cubic
- Uncorrected formation energy: 0.579 eV per atom

POSCAR file:
```
Si4NiP
1.0
-4.518 -1.855 -0.573
-2.245 -2.217 3.772
-3.839 2.157 2.188
Ni P Si
1 1 4
Cartesian
-7.951 -1.436 4.040
0.000 0.000 0.000
-6.234 -1.645 1.734
-3.976 -0.718 2.020
-5.895 0.360 3.114
-5.098 -1.826 3.906
```

=====

Here is an optimized crystal structure of SiNi2P from Alexandria. Energies are from GGA-PBEsol.

## Properties
- SG: Pmmm, No. 47
- Crystal system: orthorhombic
- Uncorrected formation energy: -0.250 eV per atom

POSCAR file:
```
SiNi2P
1.0
2.626 0.000 0.000
0.000 3.214 0.000
0.000 0.000 5.299
Ni P Si
2 1 1
Cartesian
0.000 0.000 3.910
0.000 0.000 1.389
1.313 1.607 0.000
1.313 1.607 2.650
```

=====

Here is an optimized crystal structure of SiNiP2 from Alexandria. Energies are from GGA-PBEsol.

## Properties
- SG: Cm, No. 8
- Crystal system: monoclinic
- Uncorrected formation energy: -0.121 eV per atom

POSCAR file:
```
SiNiP2
1.0
-2.925 -0.859 0.846
-0.583 -3.610 0.236
0.239 -1.276 5.446
Ni P Si
1 2 1
Cartesian
-2.412 -4.415 4.925
-2.648 -2.533 6.021
-0.924 -0.994 1.713
-1.606 -2.811 3.424
```

=====

Here is an optimized crystal structure of SiNiP2 from Alexandria. Energies are from GGA-PBEsol.

## Properties
- SG: P4mm, No. 99
- Crystal system: tetragonal
- Uncorrected formation energy: 0.129 eV per atom

POSCAR file:
```
SiNiP2
1.0
-2.004 -0.913 -1.262
1.131 -2.266 -0.156
-3.487 -2.234 7.155
Ni P Si
1 2 1
Cartesian
-3.033 -3.253 4.619
-3.272 -2.096 6.713
-1.403 -2.209 1.274
-1.883 -1.206 3.864
```